DFT (PBE-GGA) results for a geometry-optimized TcAs2Cl2 structure.

## Properties
Raw total energy (eV for the cell shown): -21.44
Total magnetization (μB/cell): 0.166
ΔE_f (raw) (meV/atom): 383.3
ΔE to the lowest computed polymorph (meV per atom): 98

Geometry as CIF:
```
data_TcAs2Cl2
_chemical_formula_sum 'Tc1 As2 Cl2'
_symmetry_space_group_name_H-M 'P 1'
_symmetry_Int_Tables_number 1
_cell_length_a 3.419
_cell_length_b 3.419
_cell_length_c 10.227
_cell_angle_alpha 80.38
_cell_angle_beta 80.38
_cell_angle_gamma 90.00
loop_
_symmetry_equiv_pos_as_xyz
'x,y,z'
loop_
_atom_site_label
_atom_site_type_symbol
_atom_site_fract_x
_atom_site_fract_y
_atom_site_fract_z
_atom_site_occupancy
Cl1 Cl 0.250 0.750 0.500 1
Cl2 Cl 0.750 0.250 0.500 1
As1 As 0.565 0.565 0.869 1
As2 As 0.435 0.435 0.131 1
Tc1 Tc 0.000 0.000 0.000 1
```